First-principles (PBE with a Hubbard U) data for crystalline MgInCoO4 at its relaxed geometry, as listed in OQMD.

Results
offset from the most stable computed form	0	meV per atom
calculated total energy	-5.8345	eV/atom
spin magnetization	0.00	Bohr magnetons per cell
V	10.8	Å³ per atom

Cell lengths 6.0014, 6.0014, 8.3854 Å; angles 90.00, 90.00, 90.00 degrees
Space group P4_122 (No. 91)
Inequivalent atoms, fractional coordinates:
1 Mg 0.0000 0.2536 0.0000
2 In 0.2511 0.2511 0.3750
3 Co 0.2554 0.5000 0.7500
4 O 0.0367 0.2631 0.7560
5 O 0.2632 0.4730 0.9793